A plane-wave DFT calculation with GGA-PBE was carried out for an optimized crystal structure of BeGaN2O.

Cell: 3.8639 3.8639 3.8403 Å, 90.00 90.00 90.00°
Element x y z (fractional)
Be 0.0000 0.0000 0.0000
Ga 0.5000 0.5000 0.5000
N 0.0000 0.5000 0.5000
N 0.5000 0.0000 0.5000
O 0.5000 0.5000 0.0000

symmetry: No. 123


A plane-wave DFT calculation with GGA-PBE was carried out for an optimized crystal structure of BeGaRh2N.

Cell: 4.6887 4.6887 3.5369 Å, 90.00 90.00 90.00°
Element x y z (fractional)
Be 0.0000 0.0000 0.0000
Ga 0.5000 0.5000 0.5000
Rh 0.0000 0.5000 0.5000
Rh 0.5000 0.0000 0.5000
N 0.5000 0.5000 0.0000

symmetry: No. 123


These records have final energy values of -4.48; -4.72 eV/atom, in the order they appear.
These records have magnetization values of 2.6; 0.8 μB/f.u., in the order they appear.